Record 1
! Cd2Cu2Bi, relaxed, DFT PBE; values from VASP
&SYSTEM
  ibrav = 0, nat = 5, ntyp = 3
/
ATOMIC_SPECIES
Cu 63.55 Cu.upf
Cd 112.41 Cd.upf
Bi 208.98 Bi.upf
CELL_PARAMETERS angstrom
-0.208 -3.125 -1.470
1.528 1.238 -2.847
8.688 -3.069 1.225
ATOMIC_POSITIONS crystal
Cu 0.250 0.750 0.500
Cd 0.370 0.370 0.259
Cu 0.750 0.250 0.500
Bi 0.000 0.000 0.000
Cd 0.630 0.630 0.741
! SG = No. 139
! polymorph energy (0 for the lowest one) = 0 meV/atom
! formation energy = 129 meV/atom

***

Record 2
! CdCuGe2Bi, relaxed, DFT PBE; values from VASP
&SYSTEM
  ibrav = 0, nat = 5, ntyp = 4
/
ATOMIC_SPECIES
Cu 63.55 Cu.upf
Ge 72.64 Ge.upf
Cd 112.41 Cd.upf
Bi 208.98 Bi.upf
CELL_PARAMETERS angstrom
-4.876 -1.323 -2.356
2.421 0.016 -5.021
1.231 -5.562 0.576
ATOMIC_POSITIONS crystal
Cu 0.500 0.500 0.500
Ge 0.500 0.000 0.000
Cd 0.000 0.000 0.500
Bi 0.000 0.000 0.000
Ge 0.000 0.500 0.000
! SG = No. 123
! formation energy = 1210 meV/atom

***

Record 3
! CdCuBi2H, relaxed, DFT PBE; values from VASP
&SYSTEM
  ibrav = 0, nat = 5, ntyp = 4
/
ATOMIC_SPECIES
Cu 63.55 Cu.upf
Bi 208.98 Bi.upf
Cd 112.41 Cd.upf
H 1.01 H.upf
CELL_PARAMETERS angstrom
-5.013 0.788 2.424
1.654 -3.064 4.416
1.153 2.764 1.486
ATOMIC_POSITIONS crystal
Cu 0.000 0.000 0.000
Bi 0.500 0.000 0.000
Cd 0.500 0.500 0.500
H 0.000 0.000 0.500
Bi 0.000 0.500 0.000
! VASP energy = -15.2 eV for the cell shown
! SG = No. 123

***

| no. | mass density (g/cm3) | size of the total moment (Bohr magnetons per cell) |
| --- | --- | --- |
| 1 | 8.67 | 0.0 |
| 2 | 4.95 | 0.0 |
| 3 | 9.34 | 0.0 |